## 1
First-principles (PBE-GGA) data for La2ZnH2 after structural relaxation, as listed in the Alexandria database.

a = 3.9416 Å, b = 3.9416 Å, c = 12.7659 Å
α = 90.00°, β = 90.00°, γ = 90.00°
Last column: nearest neighbours and their distance in Å.
Element x y z (fractional)
La (0.0000, 0.0000, 0.1427)  4 H 2.40
La (0.0000, 0.0000, 0.8573)  4 H 2.40
La (0.5000, 0.5000, 0.3573)  4 H 2.40
La (0.5000, 0.5000, 0.6427)  4 H 2.40
Zn (0.0000, 0.0000, 0.5000)  8 La 3.33
Zn (0.5000, 0.5000, 0.0000)  8 La 3.33
H (0.0000, 0.5000, 0.2500)  4 La 2.40
H (0.0000, 0.5000, 0.7500)  4 La 2.40
H (0.5000, 0.0000, 0.2500)  4 La 2.40
H (0.5000, 0.0000, 0.7500)  4 La 2.40

Results
Magnetization (μB per atom): 0.00
Fermi-level density of states (states/eV/cell): 7.3
Symmetry: No. 139

***

## 2
First-principles (PBE-GGA) data for La2ZnH2 after structural relaxation, as listed in the Alexandria database.

a = 7.3156 Å, b = 7.3156 Å, c = 3.3399 Å
α = 90.00°, β = 90.00°, γ = 90.00°
Last column: nearest neighbours and their distance in Å.
Element x y z (fractional)
La (0.1799, 0.3201, 0.0000)  6 H 2.64-2.80
La (0.3201, 0.8201, 0.0000)  6 H 2.64-2.80
La (0.6799, 0.1799, 0.0000)  6 H 2.64-2.80
La (0.8201, 0.6799, 0.0000)  6 H 2.64-2.80
Zn (0.0000, 0.0000, 0.5000)  4 H 2.90, 8 La 3.16
Zn (0.5000, 0.5000, 0.5000)  4 H 2.90, 8 La 3.16
H (0.1225, 0.6225, 0.5000)  1 H 2.53, 6 La 2.64-2.80
H (0.3775, 0.1225, 0.5000)  1 H 2.53, 6 La 2.64-2.80
H (0.6225, 0.8775, 0.5000)  1 H 2.53, 6 La 2.64-2.80
H (0.8775, 0.3775, 0.5000)  1 H 2.53, 6 La 2.64-2.80

Results
Magnetization (μB per atom): 0.00
Fermi-level density of states (states/eV/cell): 9.5
Symmetry: No. 127

***

Short version: 1, 2, most stable first.

***

## 1
First-principles (PBE-GGA) data for LaZr2H after structural relaxation, as listed in the Alexandria database.

a = 6.9154 Å, b = 6.9154 Å, c = 6.9154 Å
α = 90.00°, β = 90.00°, γ = 90.00°
Last column: nearest neighbours and their distance in Å.
Element x y z (fractional)
La (0.0000, 0.0000, 0.0000)  8 Zr 2.99
La (0.0000, 0.5000, 0.5000)  8 Zr 2.99
La (0.5000, 0.0000, 0.5000)  8 Zr 2.99
La (0.5000, 0.5000, 0.0000)  8 Zr 2.99
Zr (0.2500, 0.2500, 0.2500)  4 H 2.99, 4 La 2.99
Zr (0.2500, 0.2500, 0.7500)  4 H 2.99, 4 La 2.99
Zr (0.2500, 0.7500, 0.2500)  4 H 2.99, 4 La 2.99
Zr (0.2500, 0.7500, 0.7500)  4 H 2.99, 4 La 2.99
Zr (0.7500, 0.2500, 0.2500)  4 H 2.99, 4 La 2.99
Zr (0.7500, 0.2500, 0.7500)  4 H 2.99, 4 La 2.99
Zr (0.7500, 0.7500, 0.2500)  4 H 2.99, 4 La 2.99
Zr (0.7500, 0.7500, 0.7500)  4 H 2.99, 4 La 2.99
H (0.0000, 0.0000, 0.5000)  8 Zr 2.99
H (0.0000, 0.5000, 0.0000)  8 Zr 2.99
H (0.5000, 0.0000, 0.0000)  8 Zr 2.99
H (0.5000, 0.5000, 0.5000)  8 Zr 2.99

Results
Magnetization (μB per atom): 0.00
Fermi-level density of states (states/eV/cell): 22.6
Symmetry: No. 225

***

## 2
First-principles (PBE-GGA) data for LaZr2H after structural relaxation, as listed in the Alexandria database.

a = 6.1719 Å, b = 6.1719 Å, c = 9.5464 Å
α = 90.00°, β = 90.00°, γ = 90.00°
Last column: nearest neighbours and their distance in Å.
Element x y z (fractional)
La (0.0000, 0.0000, 0.0000)  12 Zr 3.50-3.90, 4 La 3.90, 4 H 3.90
La (0.0000, 0.5000, 0.2500)  12 Zr 3.50-3.90, 4 H 3.90, 4 La 3.90
La (0.5000, 0.0000, 0.7500)  12 Zr 3.50-3.90, 4 La 3.90, 4 H 3.90
La (0.5000, 0.5000, 0.5000)  12 Zr 3.50-3.90, 4 H 3.90, 4 La 3.90
Zr (0.0294, 0.2500, 0.6250)  2 H 1.96
Zr (0.2500, 0.5294, 0.8750)  2 H 1.96
Zr (0.2500, 0.9706, 0.3750)  2 H 1.96
Zr (0.4706, 0.2500, 0.1250)  2 H 1.96
Zr (0.5294, 0.7500, 0.1250)  2 H 1.96
Zr (0.7500, 0.0294, 0.3750)  2 H 1.96
Zr (0.7500, 0.4706, 0.8750)  2 H 1.96
Zr (0.9706, 0.7500, 0.6250)  2 H 1.96
H (0.0000, 0.0000, 0.5000)  4 Zr 1.96
H (0.0000, 0.5000, 0.7500)  4 Zr 1.96
H (0.5000, 0.0000, 0.2500)  4 Zr 1.96
H (0.5000, 0.5000, 0.0000)  4 Zr 1.96

Results
Magnetization (μB per atom): 0.00
Fermi-level density of states (states/eV/cell): 18.4
Symmetry: No. 122

***

Short version: 2, 1, most stable first.

***

## 1
First-principles (PBE-GGA) data for LaZr3H after structural relaxation, as listed in the Alexandria database.

a = 5.2130 Å, b = 5.2130 Å, c = 5.2130 Å
α = 90.00°, β = 90.00°, γ = 90.00°
Last column: nearest neighbours and their distance in Å.
Element x y z (fractional)
La (0.0000, 0.0000, 0.0000)  6 Zr 2.61
Zr (0.0000, 0.0000, 0.5000)  2 La 2.61
Zr (0.0000, 0.5000, 0.0000)  2 La 2.61
Zr (0.5000, 0.0000, 0.0000)  2 La 2.61
H (0.5000, 0.5000, 0.5000)  12 Zr 3.69

Results
Magnetization (μB per atom): 0.00
Fermi-level density of states (states/eV/cell): 8.5
Symmetry: No. 221

***

## 2
First-principles (PBE-GGA) data for LaZr3H after structural relaxation, as listed in the Alexandria database.

a = 4.6797 Å, b = 4.6797 Å, c = 4.6797 Å
α = 90.00°, β = 90.00°, γ = 90.00°
Last column: nearest neighbours and their distance in Å.
Element x y z (fractional)
La (0.0000, 0.0000, 0.0000)  12 Zr 3.31
Zr (0.0000, 0.5000, 0.5000)  2 H 2.34
Zr (0.5000, 0.0000, 0.5000)  2 H 2.34
Zr (0.5000, 0.5000, 0.0000)  2 H 2.34
H (0.5000, 0.5000, 0.5000)  6 Zr 2.34

Results
Magnetization (μB per atom): 0.00
Fermi-level density of states (states/eV/cell): 5.8
Symmetry: No. 221

***

Short version: 2, 1, most stable first.

***

## 1
First-principles (PBE-GGA) data for Li2H after structural relaxation, as listed in the Alexandria database.

a = 2.8811 Å, b = 2.8811 Å, c = 8.2517 Å
α = 90.00°, β = 90.00°, γ = 90.00°
Last column: nearest neighbours and their distance in Å.
Element x y z (fractional)
Li (0.2500, 0.2500, 0.1208)  5 H 2.04-2.06
Li (0.2500, 0.2500, 0.6246)  1 H 2.03
Li (0.7500, 0.7500, 0.3754)  1 H 2.03
Li (0.7500, 0.7500, 0.8792)  5 H 2.04-2.06
H (0.2500, 0.2500, 0.8712)  6 Li 2.03-2.06
H (0.7500, 0.7500, 0.1288)  6 Li 2.03-2.06

Results
Magnetization (μB per atom): 0.00
Fermi-level density of states (states/eV/cell): 0.3
Symmetry: No. 129

***

## 2
First-principles (PBE-GGA) data for Li2H after structural relaxation, as listed in the Alexandria database.

a = 2.6476 Å, b = 5.6387 Å, c = 5.5244 Å
α = 90.00°, β = 118.20°, γ = 90.00°
Last column: nearest neighbours and their distance in Å.
Element x y z (fractional)
Li (0.0000, 0.1172, 0.0000)  3 H 1.87-1.90
Li (0.0000, 0.8828, 0.5000)  3 H 1.87-1.90
Li (0.5771, 0.3642, 0.5692)  2 H 1.94
Li (0.5771, 0.6358, 0.0692)  2 H 1.94
H (0.2294, 0.1509, 0.7246)  5 Li 1.87-1.94
H (0.2294, 0.8491, 0.2246)  5 Li 1.87-1.94

Results
Magnetization (μB per atom): 0.00
Fermi-level density of states (states/eV/cell): 0.9
Symmetry: No. 7

***

Short version: 1, 2, most stable first.

***

## 1
First-principles (PBE-GGA) data for Li2H after structural relaxation, as listed in the Alexandria database.

a = 2.8196 Å, b = 4.1521 Å, c = 5.9334 Å
α = 90.00°, β = 90.00°, γ = 90.00°
Last column: nearest neighbours and their distance in Å.
Element x y z (fractional)
Li (0.2500, 0.2500, 0.1089)  4 H 1.92-2.08
Li (0.2500, 0.2500, 0.6462)  2 H 2.02
Li (0.7500, 0.7500, 0.3538)  2 H 2.02
Li (0.7500, 0.7500, 0.8911)  4 H 1.92-2.08
H (0.2500, 0.7500, 0.1101)  6 Li 1.92-2.08
H (0.7500, 0.2500, 0.8899)  6 Li 1.92-2.08

Results
Magnetization (μB per atom): 0.00
Fermi-level density of states (states/eV/cell): 1.0
Symmetry: No. 59

***

## 2
First-principles (PBE-GGA) data for Li2H after structural relaxation, as listed in the Alexandria database.

a = 2.7865 Å, b = 2.8991 Å, c = 9.9709 Å
α = 84.78°, β = 89.82°, γ = 61.30°
Last column: nearest neighbours and their distance in Å.
Element x y z (fractional)
Li (0.0000, 0.0000, 0.0000)  3 H 1.92-1.98
Li (0.1390, 0.7280, 0.7539)  5 H 1.97-2.03
Li (0.3647, 0.2843, 0.2646)  11 Li 2.79-3.12
Li (0.7749, 0.4621, 0.5193)  3 H 1.96-2.19
H (0.4359, 0.1372, 0.6384)  6 Li 1.96-2.19
H (0.6648, 0.6727, 0.8938)  5 Li 1.92-1.98

Results
Magnetization (μB per atom): 0.00
Fermi-level density of states (states/eV/cell): 1.2
Symmetry: No. 1

***

## 3
First-principles (PBE-GGA) data for Li2H after structural relaxation, as listed in the Alexandria database.

a = 2.5423 Å, b = 11.1990 Å, c = 4.9138 Å
α = 90.00°, β = 90.00°, γ = 90.00°
Last column: nearest neighbours and their distance in Å.
Element x y z (fractional)
Li (0.0000, 0.0510, 0.0000)  4 H 2.00-2.03
Li (0.0000, 0.1856, 0.5729)  2 H 1.95
Li (0.0000, 0.8144, 0.0729)  2 H 1.95
Li (0.0000, 0.9490, 0.5000)  4 H 2.00-2.03
Li (0.5000, 0.3144, 0.0729)  2 H 1.95
Li (0.5000, 0.4490, 0.5000)  4 H 2.00-2.03
Li (0.5000, 0.5510, 0.0000)  4 H 2.00-2.03
Li (0.5000, 0.6856, 0.5729)  2 H 1.95
H (0.0000, 0.4361, 0.1883)  6 Li 1.95-2.03
H (0.0000, 0.5639, 0.6883)  6 Li 1.95-2.03
H (0.5000, 0.0639, 0.6883)  6 Li 1.95-2.03
H (0.5000, 0.9361, 0.1883)  6 Li 1.95-2.03

Results
Magnetization (μB per atom): 0.00
Fermi-level density of states (states/eV/cell): 1.4
Symmetry: No. 36

***

Short version: 1, 2, 3, most stable first.